# PaNb2ZnO8 (PBE, optimized geometry)
data_PaNb2ZnO8
_chemical_formula_sum 'Pa2 Nb4 Zn2 O16'
_cell_length_a 5.175
_cell_length_b 5.175
_cell_length_c 10.863
_cell_angle_alpha 90.00
_cell_angle_beta 90.00
_cell_angle_gamma 90.00
_symmetry_space_group_name_H-M 'I -4'
_symmetry_Int_Tables_number 82
_symmetry_space_group_name_Hall 'I -4'
loop_
_atom_site_label
_atom_site_type_symbol
_atom_site_fract_x
_atom_site_fract_y
_atom_site_fract_z
Pa1 Pa 0.000 0.000 0.000
Nb1 Nb 0.000 0.000 0.500
Nb2 Nb 0.000 0.500 0.250
Zn1 Zn 0.000 0.500 0.750
O1 O 0.209 0.758 0.161
O2 O 0.215 0.238 0.590
# Uncorrected formation energy ... -245.3 kJ/mol of atoms
# Total moment ... 2.13 μB/cell
# Final energy ... -8.4234 eV per atom